12
Lattice="7.5317 -1.7254 0.0000 7.5317 1.7254 0.0000 -1.6909 0.0000 6.7573" Properties=species:S:1:pos:R:3 comment="Tm6HC2N3, relaxed, DFT PBE" energy_ev_per_atom=-7.24 spacegroup="C2/m (12)" crystal_system=monoclinic pbc="T T T"
Tm -0.3685 0.0000 1.5504
Tm 4.2185 0.0000 2.7960
Tm 3.4579 0.0000 6.2066
Tm 9.9146 0.0000 0.5507
Tm 9.1539 0.0000 3.9613
Tm 13.7409 0.0000 5.2069
H 6.6862 0.0000 3.3787
C 1.0265 0.0000 5.5493
C 12.3460 0.0000 1.2080
N 1.8999 0.0000 2.2534
N 7.5317 0.0000 0.0000
N 11.4726 0.0000 4.5039